DFT (GGA+U) results for a relaxed structure of CrCuO3.

Total energy, eV/atom: -6.44

a b c (Å): 3.0784 5.3092 7.1771
angles (deg): 68.88 79.10 83.45
Space group P-1 (No. 2)
Inequivalent atoms, fractional coordinates:
Cr: 0.2004 0.2834 0.1792 x2
Cu: 0.1969 0.3201 0.6675 x2
O: 0.0507 0.6939 0.5466 x2
O: 0.2635 0.9528 0.7970 x2
O: 0.3265 0.4334 0.8736 x2